A plane-wave DFT calculation with PBE was carried out for a relaxed structure of Re2AgPb.

- Formation energy from the elements: 0.919 eV/atom
- SG: Imm2
- Spin magnetization: 0.00 μB/f.u.

Cell and atoms, written as POSCAR:
```
Re2AgPb
1.0
-1.5413 2.4086 5.3612
1.5413 -2.4086 5.3612
1.5413 2.4086 -5.3612
Re Ag Pb
2 1 1
direct
0.0000 0.0000 0.0000
0.8292 0.3292 0.5000
0.5470 0.5470 0.0000
0.2514 0.7514 0.5000
```

A plane-wave DFT calculation with PBE was carried out for a relaxed structure of ReAgPb2.

- Formation energy from the elements: 0.811 eV/atom
- SG: Cmmm
- Energy above the lowest structure with this stoichiometry: 2.775 kcal/mol of atoms
- Spin magnetization: 0.00 μB/f.u.

Cell and atoms, written as POSCAR:
```
ReAgPb2
1.0
1.7295 -2.6632 0.0000
1.7295 2.6632 0.0000
0.0000 0.0000 9.8041
Re Ag Pb
1 1 2
direct
0.0000 0.0000 0.0000
0.0000 0.0000 0.5000
0.5000 0.5000 0.2294
0.5000 0.5000 0.7706
```